Record 1
10
Lattice="-3.5173 -6.7664 1.4927 5.1580 -3.6746 -4.5029 1.8190 -0.4118 2.4196" Properties=species:S:1:pos:R:3 comment="Mg2Cu2Sn | the Alexandria database | GGA-PBE | optimized geometry" delta_e_f_mev_per_atom=64 dos_ef_per_ev_cell=2.54 space_group="No. 127" pbc="T T T"
Mg 3.1768 -5.6421 -3.3484
Mg 0.2380 -8.1845 -1.5717
Mg -1.5362 -4.7989 0.3382
Mg 1.4027 -2.2565 -1.4385
Sn 0.0000 0.0000 0.0000
Sn 0.8203 -5.2205 -1.5051
Cu 3.7472 -3.6900 -1.5165
Cu 2.9404 -7.7513 -1.6011
Cu -0.2876 -7.1627 0.9259
Cu 0.5192 -3.1014 1.0105

Record 2
5
Lattice="4.8278 0.0000 0.0000 0.0000 4.8278 0.0000 0.0000 0.0000 4.8278" Properties=species:S:1:pos:R:3 comment="LiZrIn3 | the Alexandria database | GGA-PBE | optimized geometry" delta_e_f_mev_per_atom=286 relative_energy_ev_per_fu=0.000 dos_ef_per_ev_cell=3.23 space_group="No. 221" pbc="T T T"
Li 0.0000 0.0000 0.0000
Zr 2.4139 2.4139 2.4139
In 0.0000 2.4139 0.0000
In 0.0000 0.0000 2.4139
In 2.4139 0.0000 0.0000

Record 3
16
Lattice="-0.0931 2.7400 2.2712 1.7624 -5.0050 3.3202 11.6513 2.4548 -2.4841" Properties=species:S:1:pos:R:3 comment="SrCe2PtN4 | the Alexandria database | GGA-PBE | optimized geometry" total_energy_ev_per_atom=-7.433 dos_ef_per_ev_cell=14.00 space_group="No. 63" pbc="T T T"
Sr 9.0965 1.0826 -0.9334
Sr 4.2241 -0.8929 4.0406
Ce 7.6888 -1.3321 1.9222
Ce 0.9977 0.5455 2.1731
Ce 5.6318 1.5219 1.1851
Ce 12.3230 -0.3557 0.9342
Pt 9.8551 0.7469 2.2931
Pt 3.4655 -0.5571 0.8141
N 2.1055 -1.6356 2.0596
N 7.8151 1.1091 1.7725
N 11.2151 1.8254 1.0477
N 5.5055 -0.9193 1.3347
N 5.8256 1.2274 -1.2421
N 0.0000 0.0000 0.0000
N 10.2324 -1.3239 2.0165
N 3.0882 1.5137 1.0907

Record 4
6
Lattice="-0.0519 -0.0999 -3.3098 3.2196 -3.6767 0.0605 -6.3699 -5.5731 0.2682" Properties=species:S:1:pos:R:3 comment="CeSmAg4 | the Alexandria database | GGA-PBE | optimized geometry" delta_e_f_mev_per_atom=-206 relative_energy_ev_per_fu=0.000 dos_ef_per_ev_cell=9.36 space_group="No. 47" pbc="T T T"
Ce -4.8088 -7.4909 -3.0074
Sm -0.0141 -6.5427 -3.1113
Ag 2.1265 -4.6425 -1.5453
Ag -2.1027 -8.3430 -1.3672
Ag -2.6512 -5.5760 -1.4423
Ag -0.5445 -3.7327 -1.5310

Record 5
8
Lattice="-3.7388 2.8662 -0.1129 -0.8873 -1.3320 -4.4323 -8.6862 -7.3995 1.4575" Properties=species:S:1:pos:R:3 comment="NaCdPb2 | the Alexandria database | GGA-PBE | optimized geometry" delta_e_f_mev_per_atom=32 dos_ef_per_ev_cell=3.63 space_group="No. 122" pbc="T T T"
Pb -4.6411 -0.2083 -0.2609
Pb -3.1716 -2.3408 -2.4192
Pb -8.2442 -4.9665 -0.5854
Pb -10.5677 -4.2150 -2.9098
Na -2.3131 0.7671 -2.2726
Na -5.9433 -3.9822 -2.6237
Cd 0.0000 0.0000 0.0000
Cd -7.3690 -1.8831 -0.4640

Record 6
7
Lattice="5.3375 0.0000 0.0000 0.0000 5.3375 0.0000 2.6688 2.6688 6.9998" Properties=species:S:1:pos:R:3 comment="ZnCd4Hg2 | the Alexandria database | GGA-PBE | optimized geometry" delta_e_f_mev_per_atom=168 relative_energy_ev_per_fu=0.720 dos_ef_per_ev_cell=1.64 space_group="No. 139" pbc="T T T"
Zn 0.0000 0.0000 0.0000
Hg 2.6688 2.6688 1.6009
Hg 5.3375 5.3375 5.3989
Cd 2.6688 2.6688 4.3805
Cd 5.3375 5.3375 2.6193
Cd 0.0000 2.6688 0.0000
Cd 2.6688 0.0000 0.0000

Record 7
4
Lattice="-0.9689 2.7640 -0.9755 -0.7220 -1.2209 -2.7419 -5.6609 -1.2602 2.0518" Properties=species:S:1:pos:R:3 comment="TaInFe2 | the Alexandria database | GGA-PBE | optimized geometry" delta_e_f_mev_per_atom=-14 dos_ef_per_ev_cell=1.28 space_group="No. 123" pbc="T T T"
Fe -5.5434 -1.2341 2.0092
Fe -2.9480 -0.6563 1.0685
In -2.2607 0.4565 -1.3458
Ta -5.0911 -0.1736 -0.3199

Record 8
5
Lattice="3.9318 0.0000 0.0000 0.0000 3.9318 0.0000 -1.9659 -1.9659 4.9670" Properties=species:S:1:pos:R:3 comment="SmFeSi2Ni | the Alexandria database | GGA-PBE | optimized geometry" total_energy_ev_per_atom=-6.691 dos_ef_per_ev_cell=2.40 space_group="No. 119" pbc="T T T"
Sm 0.0000 0.0000 0.0000
Fe 1.9659 0.0000 2.4835
Si 1.9659 1.9659 1.2843
Si 0.0000 0.0000 3.6827
Ni 0.0000 1.9659 2.4835

Record 9
16
Lattice="-8.6642 0.1265 0.3065 0.2364 -3.2629 8.0296 0.2325 8.0321 3.2571" Properties=species:S:1:pos:R:3 comment="TiTl | the Alexandria database | GGA-PBE | optimized geometry" delta_e_f_mev_per_atom=838 dos_ef_per_ev_cell=16.12 space_group="No. 217" pbc="T T T"
Ti -0.8855 0.5290 1.2526
Ti -0.5179 4.2676 10.1003
Ti -7.4952 6.9246 4.0461
Ti -7.4920 -1.9297 7.7874
Ti -4.9831 2.9768 7.0492
Ti -5.0844 1.9462 4.6102
Ti -3.1611 1.2138 6.2791
Ti -3.1619 3.6546 5.2478
Tl -2.4350 1.4546 3.4445
Tl -2.2447 3.3898 8.0243
Tl -5.8563 4.7651 4.8905
Tl -5.8546 0.1819 6.8271
Tl -6.5326 3.9025 9.2411
Tl -6.8112 1.0684 2.5342
Tl -1.5222 -0.9457 7.1236
Tl -1.5245 5.7662 4.2875

Record 10
4
Lattice="5.4559 0.0000 0.0000 2.7279 4.7249 0.0000 2.7279 1.5750 4.4547" Properties=species:S:1:pos:R:3 comment="PmNdThZn | the Alexandria database | GGA-PBE | optimized geometry" delta_e_f_mev_per_atom=120 dos_ef_per_ev_cell=7.52 space_group="No. 216" pbc="T T T"
Zn 5.4559 3.1499 2.2273
Nd 8.1838 4.7249 3.3410
Th 2.7279 1.5750 1.1137
Pm 0.0000 0.0000 0.0000

Record 11
11
Lattice="-2.7955 -5.7144 1.6401 5.7511 1.7696 2.6368 -4.1339 4.2569 3.4844" Properties=species:S:1:pos:R:3 comment="Li2UTi2Se6 | the Alexandria database | GGA-PBE | optimized geometry" total_energy_ev_per_atom=-5.902 dos_ef_per_ev_cell=6.61 space_group="No. 12" pbc="T T T"
Li -1.4131 -4.5039 1.8013
Li 4.3687 0.5591 2.4756
U -2.0670 2.1284 1.7422
Ti 0.8300 1.3988 4.0461
Ti -2.0083 -1.0867 3.7151
Se -0.9182 0.2909 5.6893
Se -0.8009 3.4734 3.8377
Se -0.2602 0.0212 2.0720
Se -3.8207 0.8291 3.4856
Se -0.3775 -3.1613 3.9235
Se 2.6423 -0.5170 4.2757

Record 12
4
Lattice="5.5690 0.0000 0.0000 2.7845 4.8229 0.0000 2.7845 1.6076 4.5471" Properties=species:S:1:pos:R:3 comment="PmEuTmCd | the Alexandria database | GGA-PBE | optimized geometry" delta_e_f_mev_per_atom=43 dos_ef_per_ev_cell=5.72 space_group="No. 216" pbc="T T T"
Eu 5.5690 3.2153 2.2735
Cd 8.3535 4.8229 3.4103
Tm 0.0000 0.0000 0.0000
Pm 2.7845 1.6076 1.1368

Record 13
8
Lattice="-3.0442 0.9633 -3.9693 -3.9810 -1.8070 2.6147 -1.6397 8.3724 3.2895" Properties=species:S:1:pos:R:3 comment="RbZnIn6 | the Alexandria database | GGA-PBE | optimized geometry" delta_e_f_mev_per_atom=-66 dos_ef_per_ev_cell=2.13 space_group="No. 123" pbc="T T T"
Rb 0.0000 0.0000 0.0000
Zn -0.8199 4.1862 1.6447
In -2.6125 6.0490 0.2027
In -3.0809 4.6639 3.4947
In -3.7743 0.9141 -0.1524
In -4.8907 6.6146 2.0873
In -2.5399 1.9015 2.4094
In -2.0715 3.2867 -0.8826